1.
A geometry-optimized Ba2TcSe structure, computed with PBE-GGA.

As for the uncorrected formation energy: -0.34 eV/f.u. The total energy comes out at -54.1 eV for the cell shown.

Cell lengths 4.5069, 4.5069, 25.3440 Å; angles 90.00, 90.00, 120.00 degrees
Space group R-3m (No. 166, hexagonal axes)
Inequivalent atoms, fractional coordinates:
Ba 0.0000 0.0000 0.2452 (multiplicity 6)
Tc 0.0000 0.0000 0.0000 (multiplicity 3)
Se 0.0000 0.0000 0.5000 (multiplicity 3)



2.
A geometry-optimized BaTcSe3 structure, computed with PBE-GGA.

As for the uncorrected formation energy: -3.52 eV/f.u. As for the relative energy among the computed polymorphs: 0.00 eV/f.u. The total energy comes out at -26.3 eV for the cell shown.

Cell lengths 5.103, 5.103, 5.103 Å; angles 90.00, 90.00, 90.00 degrees
Space group Pm-3m (No. 221)
Inequivalent atoms, fractional coordinates:
Ba 0.000 0.000 0.000 (multiplicity 1)
Tc 0.500 0.500 0.500 (multiplicity 1)
Se 0.000 0.500 0.500 (multiplicity 3)



3.
A geometry-optimized Ba2TcSe structure, computed with PBE-GGA.

As for the uncorrected formation energy: -0.35 eV/f.u. The total energy comes out at -18.0 eV for the cell shown.

Cell lengths 3.941, 3.990, 8.274 Å; angles 90.00, 90.00, 90.00 degrees
Space group Pmmm (No. 47)
Inequivalent atoms, fractional coordinates:
Ba 0.000 0.000 0.234 (multiplicity 2)
Tc 0.500 0.500 0.500 (multiplicity 1)
Se 0.500 0.500 0.000 (multiplicity 1)



4.
A geometry-optimized BaTc2Se structure, computed with PBE-GGA.

As for the uncorrected formation energy: 2.92 eV/f.u. The total energy comes out at -23.2 eV for the cell shown.

Cell lengths 3.236, 4.280, 6.549 Å; angles 90.00, 90.00, 90.00 degrees
Space group Pmmm (No. 47)
Inequivalent atoms, fractional coordinates:
Ba 0.000 0.000 0.000 (multiplicity 1)
Tc 0.500 0.500 0.334 (multiplicity 2)
Se 0.000 0.000 0.500 (multiplicity 1)



5.
A geometry-optimized BaTc2Se structure, computed with PBE-GGA.

As for the uncorrected formation energy: 3.37 eV/f.u. The total energy comes out at -68.3 eV for the cell shown.

Cell lengths 3.1913, 3.1913, 27.6493 Å; angles 90.00, 90.00, 120.00 degrees
Space group R-3m (No. 166, hexagonal axes)
Inequivalent atoms, fractional coordinates:
Ba 0.0000 0.0000 0.0000 (multiplicity 3)
Tc 0.0000 0.0000 0.2291 (multiplicity 6)
Se 0.0000 0.0000 0.5000 (multiplicity 3)



6.
A geometry-optimized BaTcSe2 structure, computed with PBE-GGA.

As for the uncorrected formation energy: -1.33 eV/f.u. As for the relative energy among the computed polymorphs: 1.60 eV/f.u. The total energy comes out at -41.2 eV for the cell shown.

Cell lengths 4.265, 6.765, 7.576 Å; angles 90.00, 90.00, 90.00 degrees
Space group Cmmm (No. 65)
Inequivalent atoms, fractional coordinates:
Ba 0.000 0.000 0.000 (multiplicity 2)
Tc 0.000 0.000 0.500 (multiplicity 2)
Se 0.000 0.500 0.297 (multiplicity 4)



7.
A geometry-optimized BaTcSe2 structure, computed with PBE-GGA.

As for the uncorrected formation energy: -0.99 eV/f.u. As for the relative energy among the computed polymorphs: 1.95 eV/f.u. The total energy comes out at -20.2 eV for the cell shown.

Cell lengths 3.452, 3.452, 7.533 Å; angles 90.00, 90.00, 90.00 degrees
Space group P4/mmm (No. 123)
Inequivalent atoms, fractional coordinates:
Ba 0.000 0.000 0.000 (multiplicity 1)
Tc 0.000 0.000 0.500 (multiplicity 1)
Se 0.500 0.500 0.304 (multiplicity 2)



8.
A geometry-optimized BaTc2Se2 structure, computed with PBE-GGA.

As for the uncorrected formation energy: 0.91 eV/f.u. As for the relative energy among the computed polymorphs: 2.37 eV/f.u. The total energy comes out at -57.4 eV for the cell shown.

Cell lengths 7.975, 7.975, 3.391 Å; angles 90.00, 90.00, 90.00 degrees
Space group P4/mbm (No. 127)
Inequivalent atoms, fractional coordinates:
Ba 0.000 0.000 0.000 (multiplicity 2)
Tc 0.098 0.402 0.000 (multiplicity 4)
Se 0.188 0.688 0.500 (multiplicity 4)



9.
A geometry-optimized BaTc3Se structure, computed with PBE-GGA.

As for the uncorrected formation energy: 4.52 eV/f.u. As for the relative energy among the computed polymorphs: 0.00 eV/f.u. The total energy comes out at -32.0 eV for the cell shown.

Cell lengths 4.765, 4.765, 4.765 Å; angles 90.00, 90.00, 90.00 degrees
Space group Pm-3m (No. 221)
Inequivalent atoms, fractional coordinates:
Ba 0.000 0.000 0.000 (multiplicity 1)
Tc 0.000 0.500 0.500 (multiplicity 3)
Se 0.500 0.500 0.500 (multiplicity 1)



10.
A geometry-optimized BaTcSe4 structure, computed with PBE-GGA.

As for the uncorrected formation energy: 2.35 eV/f.u. The total energy comes out at -95.5 eV for the cell shown.

Cell lengths 8.446, 8.446, 8.446 Å; angles 90.00, 90.00, 90.00 degrees
Space group F-43m (No. 216)
Inequivalent atoms, fractional coordinates:
Ba 0.000 0.000 0.000 (multiplicity 4)
Tc 0.250 0.250 0.250 (multiplicity 4)
Se 0.124 0.124 0.624 (multiplicity 16)



11.
A geometry-optimized BaTcSe2 structure, computed with PBE-GGA.

As for the uncorrected formation energy: -2.93 eV/f.u. As for the relative energy among the computed polymorphs: 0.00 eV/f.u. The total energy comes out at -66.6 eV for the cell shown.

Cell lengths 4.1758, 4.1758, 19.1688 Å; angles 90.00, 90.00, 120.00 degrees
Space group R-3m (No. 166, hexagonal axes)
Inequivalent atoms, fractional coordinates:
Ba 0.0000 0.0000 0.0000 (multiplicity 3)
Tc 0.0000 0.0000 0.5000 (multiplicity 3)
Se 0.0000 0.0000 0.2232 (multiplicity 6)



12.
A geometry-optimized BaTc2Se2 structure, computed with PBE-GGA.

As for the uncorrected formation energy: -1.46 eV/f.u. As for the relative energy among the computed polymorphs: 0.00 eV/f.u. The total energy comes out at -62.2 eV for the cell shown.

Cell lengths 4.799, 4.799, 9.327 Å; angles 90.00, 90.00, 90.00 degrees
Space group I4/mmm (No. 139)
Inequivalent atoms, fractional coordinates:
Ba 0.000 0.000 0.000 (multiplicity 2)
Tc 0.000 0.000 0.378 (multiplicity 4)
Se 0.000 0.500 0.250 (multiplicity 4)



13.
A geometry-optimized Ba2TcSe structure, computed with PBE-GGA.

As for the uncorrected formation energy: 0.31 eV/f.u. The total energy comes out at -17.4 eV for the cell shown.

Cell lengths 3.550, 3.550, 9.783 Å; angles 90.00, 90.00, 90.00 degrees
Space group P4mm (No. 99)
Inequivalent atoms, fractional coordinates:
Ba 0.000 0.000 0.000 (multiplicity 1)
Ba 0.500 0.500 0.413 (multiplicity 1)
Tc 0.500 0.500 0.753 (multiplicity 1)
Se 0.000 0.000 0.660 (multiplicity 1)



14.
A geometry-optimized BaTcSe2 structure, computed with PBE-GGA.

As for the uncorrected formation energy: 0.00 eV/f.u. As for the relative energy among the computed polymorphs: 2.94 eV/f.u. The total energy comes out at -38.5 eV for the cell shown.

Cell lengths 4.296, 4.296, 12.416 Å; angles 90.00, 90.00, 90.00 degrees
Space group I-4m2 (No. 119)
Inequivalent atoms, fractional coordinates:
Ba 0.000 0.000 0.000 (multiplicity 2)
Tc 0.000 0.500 0.250 (multiplicity 2)
Se 0.000 0.000 0.500 (multiplicity 2)
Se 0.000 0.500 0.750 (multiplicity 2)



15.
A geometry-optimized BaTcSe2 structure, computed with PBE-GGA.

As for the uncorrected formation energy: -2.48 eV/f.u. As for the relative energy among the computed polymorphs: 0.45 eV/f.u. The total energy comes out at -21.7 eV for the cell shown.

Cell lengths 4.968, 4.968, 4.458 Å; angles 90.00, 90.00, 90.00 degrees
Space group P4/mmm (No. 123)
Inequivalent atoms, fractional coordinates:
Ba 0.000 0.000 0.000 (multiplicity 1)
Tc 0.500 0.500 0.500 (multiplicity 1)
Se 0.000 0.500 0.500 (multiplicity 2)



16.
A geometry-optimized BaTcSe2 structure, computed with PBE-GGA.

As for the uncorrected formation energy: -0.55 eV/f.u. As for the relative energy among the computed polymorphs: 2.39 eV/f.u. The total energy comes out at -19.8 eV for the cell shown.

Cell lengths 3.335, 3.335, 9.355 Å; angles 90.00, 90.00, 90.00 degrees
Space group P4mm (No. 99)
Inequivalent atoms, fractional coordinates:
Ba 0.000 0.000 0.000 (multiplicity 1)
Tc 0.500 0.500 0.720 (multiplicity 1)
Se 0.000 0.000 0.614 (multiplicity 1)
Se 0.500 0.500 0.243 (multiplicity 1)



17.
A geometry-optimized BaTc2Se structure, computed with PBE-GGA.

As for the uncorrected formation energy: 1.11 eV/f.u. The total energy comes out at -25.0 eV for the cell shown.

Cell lengths 3.961, 4.849, 5.351 Å; angles 90.00, 95.69, 90.00 degrees
Space group P2/m (No. 10)
Inequivalent atoms, fractional coordinates:
Ba 0.000 0.000 0.000 (multiplicity 1)
Tc 0.264 0.500 0.614 (multiplicity 2)
Se 0.500 0.000 0.500 (multiplicity 1)



18.
A geometry-optimized BaTc3Se structure, computed with PBE-GGA.

As for the uncorrected formation energy: 14.63 eV/f.u. As for the relative energy among the computed polymorphs: 10.10 eV/f.u. The total energy comes out at -21.9 eV for the cell shown.

Cell lengths 5.137, 5.137, 5.137 Å; angles 90.00, 90.00, 90.00 degrees
Space group Pm-3m (No. 221)
Inequivalent atoms, fractional coordinates:
Ba 0.000 0.000 0.000 (multiplicity 1)
Tc 0.000 0.000 0.500 (multiplicity 3)
Se 0.500 0.500 0.500 (multiplicity 1)



19.
A geometry-optimized BaTcSe2 structure, computed with PBE-GGA.

As for the uncorrected formation energy: -0.98 eV/f.u. As for the relative energy among the computed polymorphs: 1.95 eV/f.u. The total energy comes out at -60.7 eV for the cell shown.

Cell lengths 5.0129, 5.0129, 24.3509 Å; angles 90.00, 90.00, 120.00 degrees
Space group R-3m (No. 166, hexagonal axes)
Inequivalent atoms, fractional coordinates:
Ba 0.0000 0.0000 0.0000 (multiplicity 3)
Tc 0.0000 0.0000 0.5000 (multiplicity 3)
Se 0.0000 0.0000 0.3995 (multiplicity 6)



20.
A geometry-optimized BaTcSe2 structure, computed with PBE-GGA.

As for the uncorrected formation energy: 1.53 eV/f.u. As for the relative energy among the computed polymorphs: 4.46 eV/f.u. The total energy comes out at -70.9 eV for the cell shown.

Cell lengths 7.453, 7.453, 7.453 Å; angles 90.00, 90.00, 90.00 degrees
Space group F-43m (No. 216)
Inequivalent atoms, fractional coordinates:
Ba 0.000 0.000 0.000 (multiplicity 4)
Tc 0.250 0.250 0.750 (multiplicity 4)
Se 0.000 0.000 0.500 (multiplicity 4)
Se 0.250 0.250 0.250 (multiplicity 4)